Density functional theory data (GGA-PBE) for Sb2IrRh after structural relaxation.

```
Sb2IrRh
1.0
-2.317 -0.056 -8.012
0.856 -0.754 -8.262
-1.288 -3.124 -7.625
Sb Ir Rh
2 1 1
Cartesian
-2.060 -2.948 -17.914
-0.688 -0.985 -5.986
-1.374 -1.967 -11.950
0.000 0.000 0.000
```

Values from the calculation:
Formation energy without anion corrections: 0.0022 eV/atom
SG: No. 166
Energy above the most stable polymorph in this dataset: 0.205 eV/atom